{"formula": "TbTm3Cd", "functional": "PBE-GGA", "state": "optimized geometry", "polymorph_energy_mev_per_atom": 168, "formation_energy_mev_per_atom": 64, "total_magnetization_mub_per_cell": 0.00, "final_energy_ev_per_cell": -37.28, "lattice": [[-2.624, 1.165, -2.330], [-5.914, -3.796, 7.702], [0.027, 7.182, 3.560]], "species": ["Tm", "Tm", "Tm", "Tm", "Tm", "Tm", "Cd", "Cd", "Tb", "Tb"], "frac_coords": [[0.901, 0.303, 0.539], [0.901, 0.303, 0.961], [0.099, 0.697, 0.461], [0.312, 0.124, 0.250], [0.688, 0.876, 0.750], [0.099, 0.697, 0.039], [0.309, 0.118, 0.750], [0.691, 0.882, 0.250], [0.480, 0.461, 0.250], [0.520, 0.539, 0.750]]}